Entry 1:
Below is an optimized crystal structure of PrCuSe, with properties calculated at the GGA-PBE level.

Properties
Formation energy from raw total energies (eV/atom): -0.906
Space-group type: No. 166

a = 8.635 Å, b = 8.635 Å, c = 8.635 Å
α = 31.30°, β = 31.30°, γ = 31.30°
Positions (direct):
Pr 0.079 0.079 0.079
Pr 0.921 0.921 0.921
Cu 0.328 0.328 0.328
Cu 0.672 0.672 0.672
Se 0.213 0.213 0.213
Se 0.787 0.787 0.787

Entry 2:
Below is an optimized crystal structure of Pr2CuSe, with properties calculated at the GGA-PBE level.

Properties
Formation energy from raw total energies (eV/atom): -0.909
Space-group type: No. 166

a = 7.613 Å, b = 7.613 Å, c = 7.613 Å
α = 31.88°, β = 31.88°, γ = 31.88°
Positions (direct):
Pr 0.250 0.250 0.250
Pr 0.750 0.750 0.750
Cu 0.000 0.000 0.000
Se 0.500 0.500 0.500

Entry 3:
Below is an optimized crystal structure of PrCu2Se2, with properties calculated at the GGA-PBE level.

Properties
Formation energy from raw total energies (eV/atom): -0.677
Space-group type: No. 15

a = 6.815 Å, b = 6.815 Å, c = 6.296 Å
α = 116.82°, β = 116.82°, γ = 99.52°
Positions (direct):
Pr 0.126 0.874 0.750
Pr 0.874 0.126 0.250
Cu 0.229 0.481 0.959
Cu 0.481 0.229 0.459
Cu 0.519 0.771 0.541
Cu 0.771 0.519 0.041
Se 0.165 0.835 0.250
Se 0.417 0.583 0.750
Se 0.583 0.417 0.250
Se 0.835 0.165 0.750

Entry 4:
Below is an optimized crystal structure of Pr2CuSe3, with properties calculated at the GGA-PBE level.

Properties
Formation energy from raw total energies (eV/atom): -1.394
Space-group type: No. 71

a = 8.816 Å, b = 8.816 Å, c = 8.816 Å
α = 153.80°, β = 150.07°, γ = 40.19°
Positions (direct):
Pr 0.139 0.139 0.000
Pr 0.861 0.861 0.000
Cu 0.500 0.500 0.000
Se 0.000 0.500 0.500
Se 0.324 0.324 0.000
Se 0.676 0.676 0.000

Entry 5:
Below is an optimized crystal structure of Pr5CuSe8, with properties calculated at the GGA-PBE level.

Properties
Formation energy from raw total energies (eV/atom): -1.639
Space-group type: No. 82

a = 7.755 Å, b = 7.755 Å, c = 7.755 Å
α = 110.35°, β = 110.35°, γ = 107.73°
Positions (direct):
Pr 0.000 0.000 0.000
Pr 0.254 0.134 0.623
Pr 0.369 0.746 0.880
Pr 0.511 0.631 0.377
Pr 0.866 0.489 0.120
Cu 0.750 0.250 0.500
Se 0.098 0.357 0.870
Se 0.145 0.385 0.397
Se 0.252 0.855 0.240
Se 0.487 0.228 0.130
Se 0.615 0.012 0.760
Se 0.643 0.513 0.740
Se 0.772 0.902 0.260
Se 0.988 0.748 0.603

Entry 6:
Below is an optimized crystal structure of PrSm2CuSe5, with properties calculated at the GGA-PBE level.

Properties
Formation energy from raw total energies (eV/atom): -1.545
Space-group type: No. 36

a = 9.443 Å, b = 9.443 Å, c = 12.011 Å
α = 90.00°, β = 90.00°, γ = 155.12°
Positions (direct):
Pr 0.194 0.806 0.500
Pr 0.806 0.194 0.000
Sm 0.102 0.898 0.173
Sm 0.114 0.886 0.799
Sm 0.886 0.114 0.299
Sm 0.898 0.102 0.673
Cu 0.436 0.564 0.944
Cu 0.564 0.436 0.444
Se 0.042 0.958 0.552
Se 0.294 0.706 0.178
Se 0.324 0.676 0.825
Se 0.360 0.640 0.492
Se 0.498 0.502 0.269
Se 0.502 0.498 0.769
Se 0.640 0.360 0.992
Se 0.676 0.324 0.325
Se 0.706 0.294 0.678
Se 0.958 0.042 0.052

Entry 7:
Below is an optimized crystal structure of Pr2SmCuSe5, with properties calculated at the GGA-PBE level.

Properties
Formation energy from raw total energies (eV/atom): -1.590
Space-group type: No. 36

a = 9.218 Å, b = 9.218 Å, c = 12.243 Å
α = 90.00°, β = 90.00°, γ = 154.20°
Positions (direct):
Pr 0.108 0.892 0.500
Pr 0.120 0.880 0.125
Pr 0.880 0.120 0.625
Pr 0.892 0.108 0.000
Sm 0.194 0.806 0.825
Sm 0.806 0.194 0.325
Cu 0.437 0.563 0.269
Cu 0.563 0.437 0.769
Se 0.041 0.959 0.874
Se 0.289 0.711 0.492
Se 0.316 0.684 0.159
Se 0.358 0.642 0.816
Se 0.499 0.501 0.594
Se 0.501 0.499 0.094
Se 0.642 0.358 0.316
Se 0.684 0.316 0.659
Se 0.711 0.289 0.992
Se 0.959 0.041 0.374

Entry 8:
Below is an optimized crystal structure of PrSmCu2Se4, with properties calculated at the GGA-PBE level.

Properties
Formation energy from raw total energies (eV/atom): -1.073
Space-group type: No. 23

a = 6.337 Å, b = 6.337 Å, c = 6.337 Å
α = 113.87°, β = 112.72°, γ = 102.08°
Positions (direct):
Pr 0.000 0.000 0.000
Sm 0.500 0.500 0.000
Cu 0.341 0.841 0.500
Cu 0.659 0.159 0.500
Se 0.069 0.043 0.515
Se 0.472 0.957 0.027
Se 0.528 0.555 0.485
Se 0.931 0.445 0.973

Entry 9:
Below is an optimized crystal structure of Pr3CuSnSe7, with properties calculated at the GGA-PBE level.

Properties
Formation energy from raw total energies (eV/atom): -1.322
Space-group type: No. 173

a = 10.696 Å, b = 10.696 Å, c = 6.391 Å
α = 90.00°, β = 90.00°, γ = 120.00°
Positions (direct):
Pr 0.137 0.781 0.000
Pr 0.219 0.355 0.000
Pr 0.355 0.137 0.500
Pr 0.645 0.863 0.000
Pr 0.781 0.645 0.500
Pr 0.863 0.219 0.500
Cu 0.000 0.000 0.051
Cu 0.000 0.000 0.551
Sn 0.333 0.667 0.422
Sn 0.667 0.333 0.922
Se 0.085 0.513 0.249
Se 0.101 0.844 0.536
Se 0.156 0.256 0.536
Se 0.256 0.101 0.036
Se 0.333 0.667 0.818
Se 0.428 0.915 0.249
Se 0.487 0.572 0.249
Se 0.513 0.428 0.749
Se 0.572 0.085 0.749
Se 0.667 0.333 0.318
Se 0.744 0.899 0.536
Se 0.844 0.744 0.036
Se 0.899 0.156 0.036
Se 0.915 0.487 0.749

Entry 10:
Below is an optimized crystal structure of SrPrCuSe3, with properties calculated at the GGA-PBE level.

Properties
Formation energy from raw total energies (eV/atom): -1.524
Space-group type: No. 11

a = 8.809 Å, b = 4.170 Å, c = 9.159 Å
α = 90.00°, β = 102.19°, γ = 90.00°
Positions (direct):
Sr 0.179 0.250 0.234
Sr 0.821 0.750 0.766
Pr 0.329 0.750 0.826
Pr 0.671 0.250 0.174
Cu 0.081 0.250 0.583
Cu 0.919 0.750 0.417
Se 0.098 0.250 0.861
Se 0.210 0.750 0.503
Se 0.427 0.750 0.167
Se 0.573 0.250 0.833
Se 0.790 0.250 0.497
Se 0.902 0.750 0.139

Entry 11:
Below is an optimized crystal structure of SrPrCuSe3, with properties calculated at the GGA-PBE level.

Properties
Formation energy from raw total energies (eV/atom): -1.541
Space-group type: No. 62

a = 11.107 Å, b = 4.183 Å, c = 13.660 Å
α = 90.00°, β = 90.00°, γ = 90.00°
Positions (direct):
Sr 0.215 0.250 0.000
Sr 0.285 0.750 0.500
Sr 0.715 0.250 0.500
Sr 0.785 0.750 0.000
Pr 0.020 0.750 0.263
Pr 0.480 0.250 0.763
Pr 0.520 0.750 0.237
Pr 0.980 0.250 0.737
Cu 0.233 0.750 0.776
Cu 0.267 0.250 0.276
Cu 0.733 0.750 0.724
Cu 0.767 0.250 0.224
Se 0.052 0.750 0.884
Se 0.104 0.250 0.399
Se 0.236 0.250 0.670
Se 0.264 0.750 0.170
Se 0.396 0.750 0.899
Se 0.448 0.250 0.384
Se 0.552 0.750 0.616
Se 0.604 0.250 0.101
Se 0.736 0.250 0.830
Se 0.764 0.750 0.330
Se 0.896 0.750 0.601
Se 0.948 0.250 0.116

Entry 12:
Below is an optimized crystal structure of Pr2ThCuSe5, with properties calculated at the GGA-PBE level.

Properties
Formation energy from raw total energies (eV/atom): -1.552
Space-group type: No. 36

a = 9.045 Å, b = 9.045 Å, c = 12.740 Å
α = 90.00°, β = 90.00°, γ = 154.12°
Positions (direct):
Pr 0.113 0.887 0.500
Pr 0.117 0.883 0.847
Pr 0.883 0.117 0.347
Pr 0.887 0.113 0.000
Th 0.177 0.823 0.178
Th 0.823 0.177 0.678
Cu 0.448 0.552 0.571
Cu 0.552 0.448 0.071
Se 0.015 0.985 0.167
Se 0.302 0.698 0.846
Se 0.314 0.686 0.509
Se 0.344 0.656 0.173
Se 0.494 0.506 0.900
Se 0.506 0.494 0.400
Se 0.656 0.344 0.673
Se 0.686 0.314 0.009
Se 0.698 0.302 0.346
Se 0.985 0.015 0.667